Entry 1
Below is Cs2ReBrCl6 after structural relaxation, with properties calculated at the GGA-PBE level.

Output
density: 3.523 g/cm³
crystal system: triclinic
spin magnetization: 2.0 μB per formula unit

Cell lengths 6.9373, 7.0138, 8.6390 Å; angles 71.88, 72.08, 63.70 degrees
Space group P1 (No. 1)
Unique sites:
Cs  0.0000  0.0000  0.0000
Cs  0.4132  0.4079  0.4423
Re  0.7057  0.7037  0.7218
Br  0.4578  0.9525  0.2234
Cl  0.0136  0.5556  0.8481
Cl  0.3940  0.8422  0.6093
Cl  0.5317  0.5225  0.9648
Cl  0.5646  0.0143  0.8322
Cl  0.8556  0.3966  0.5984
Cl  0.8897  0.8748  0.4796



Entry 2
Below is Cs2ReBrCl6 after structural relaxation, with properties calculated at the GGA-PBE level.

Output
density: 3.386 g/cm³
crystal system: cubic
spin magnetization: 2.0 μB per formula unit

Cell lengths 11.3465, 11.3465, 11.3465 Å; angles 90.00, 90.00, 90.00 degrees
Space group Fm-3m (No. 225)
Unique sites:
Cs  0.2500  0.2500  0.2500
Re  0.0000  0.0000  0.0000
Br  0.0000  0.0000  0.5000
Cl  0.0000  0.0000  0.2076



Energy comparison, zero being the most stable, in meV/atom: entry 1 0; entry 2 64.